Record 1
A plane-wave DFT calculation with PBE was carried out for Zr2ReMo after structural relaxation.

Properties
E_tot	-10.235	eV/atom
density of states at the Fermi level	6.57	states/eV/cell
volume	18.49	A^3/atom

Structure (CIF):
```
data_Zr2ReMo
_chemical_formula_sum 'Zr4 Re2 Mo2'
_cell_length_a 3.288
_cell_length_b 4.645
_cell_length_c 9.682
_cell_angle_alpha 90.00
_cell_angle_beta 90.00
_cell_angle_gamma 90.00
_space_group_name_H-M_alt 'I m m 2'
_space_group_IT_number 44
_space_group_name_Hall 'I 2 -2'
loop_
_atom_site_label
_atom_site_type_symbol
_atom_site_fract_x
_atom_site_fract_y
_atom_site_fract_z
_atom_site_occupancy
Zr1 Zr 0.000 0.000 0.000 1
Zr2 Zr 0.000 0.500 0.231 1
Re1 Re 0.000 0.500 0.752 1
Mo1 Mo 0.000 0.000 0.473 1
```

Record 2
A plane-wave DFT calculation with PBE was carried out for Zr2ReMo after structural relaxation.

Properties
E_tot	-10.016	eV/atom
density of states at the Fermi level	7.32	states/eV/cell
volume	18.61	A^3/atom

Structure (CIF):
```
data_Zr2ReMo
_chemical_formula_sum 'Zr4 Re2 Mo2'
_cell_length_a 3.274
_cell_length_b 4.798
_cell_length_c 9.477
_cell_angle_alpha 90.00
_cell_angle_beta 90.00
_cell_angle_gamma 90.00
_space_group_name_H-M_alt 'C m m 2'
_space_group_IT_number 35
_space_group_name_Hall 'C 2 -2'
loop_
_atom_site_label
_atom_site_type_symbol
_atom_site_fract_x
_atom_site_fract_y
_atom_site_fract_z
_atom_site_occupancy
Zr1 Zr 0.000 0.000 0.000 1
Zr2 Zr 0.000 0.500 0.298 1
Re1 Re 0.000 0.500 0.761 1
Mo1 Mo 0.000 0.000 0.545 1
```